1.
TbNd5Sc3 | PBE | optimized geometry

As for the formation energy: 3.82 eV per formula unit. For the magnetic moment, the calculation gives 0.00 μB/atom. The value obtained for the density is 5.37 g/cm3. The total energy comes out at -43.6 eV per formula unit.

The space group is C2/m (No. 12) and the conventional cell measures 14.780, 11.425 and 9.666 Å, with angles of 90.00, 129.70 and 90.00 degrees. The distinct sites, in fractional coordinates, are Tb at (0.225, 0.000, 0.047), Nd at (0.000, 0.252, 0.000), Nd at (0.135, 0.253, 0.737), Nd at (0.229, 0.500, 0.237), Nd at (0.248, 0.500, 0.585), Sc at (0.000, 0.000, 0.000), Sc at (0.000, 0.500, 0.500), Sc at (0.007, 0.500, 0.824) and Sc at (0.013, 0.000, 0.353).

***

2.
Tb3Nd5Sc2 | PBE | optimized geometry

As for the formation energy: 0.41 eV per formula unit. For the magnetic moment, the calculation gives 0.00 μB/atom. The value obtained for the density is 6.70 g/cm3. The total energy comes out at -50.0 eV per formula unit.

The space group is P-1 (No. 2) and the conventional cell measures 9.405, 9.409 and 9.425 Å, with angles of 106.49, 106.86 and 115.11 degrees. The distinct sites, in fractional coordinates, are Tb at (0.077, 0.228, 0.053), Tb at (0.276, 0.822, 0.848), Tb at (0.323, 0.973, 0.553), Nd at (0.021, 0.075, 0.345), Nd at (0.130, 0.380, 0.751), Nd at (0.229, 0.677, 0.155), Nd at (0.379, 0.127, 0.249), Nd at (0.474, 0.428, 0.653), Sc at (0.168, 0.523, 0.450) and Sc at (0.426, 0.276, 0.949).

***

3.
Tb6Nd2Sc | PBE | optimized geometry

As for the formation energy: 1.79 eV per formula unit. For the magnetic moment, the calculation gives 0.00 μB/atom. The value obtained for the density is 7.21 g/cm3. As for the energy above the most stable polymorph in this dataset: 0.101 eV/atom. The total energy comes out at -41.9 eV per formula unit.

The space group is C2/m (No. 12) and the conventional cell measures 17.657, 9.911 and 3.451 Å, with angles of 90.00, 101.08 and 90.00 degrees. The distinct sites, in fractional coordinates, are Tb at (0.000, 0.201, 0.000), Tb at (0.164, 0.316, 0.664), Nd at (0.167, 0.000, 0.166) and Sc at (0.000, 0.500, 0.500).